(1)
An optimized crystal structure of Y2MnCoO6, computed with PBEsol.

Computed properties:
- final energy (eV for the cell shown) = -175.8

Cell: 5.1441 5.4918 8.9204 Å, 90.00 124.59 90.00°
With the nearest neighbours (Å) after each atom.
Space group P2_1/c (No. 14)
Unique sites:
Y  0.2295  0.0736  0.2496 x4  6 O 2.23-2.43
Mn  0.5000  0.0000  0.0000 x2  6 O 1.91-1.95
Co  0.0000  0.0000  0.5000 x2  6 O 1.92-1.98
O  0.1457  0.1966  0.9508 x4  1 Mn 1.94, 1 Co 1.98
O  0.2573  0.7017  0.9497 x4  1 Mn 1.95, 1 Co 1.96
O  0.3498  0.0278  0.7500 x4  1 Mn 1.91, 1 Co 1.92

---

(2)
An optimized crystal structure of NaLi2W, computed with PBEsol.

Computed properties:
- final energy (eV for the cell shown) = -55.2

Cell: 6.7788 6.7788 6.7788 Å, 90.00 90.00 90.00°
With the nearest neighbours (Å) after each atom.
Space group Fm-3m (No. 225)
Unique sites:
Na  0.0000  0.0000  0.0000 x4  8 Li 2.94
Li  0.2500  0.2500  0.2500 x8  4 W 2.94, 4 Na 2.94
W  0.0000  0.0000  0.5000 x4  8 Li 2.94

---

(3)
An optimized crystal structure of GaAuC3, computed with PBEsol.

Computed properties:
- final energy (eV for the cell shown) = -21.3

Cell: 4.0912 4.0912 4.0912 Å, 90.00 90.00 90.00°
With the nearest neighbours (Å) after each atom.
Space group Pm-3m (No. 221)
Unique sites:
Ga  0.0000  0.0000  0.0000 x1  12 C 2.89
Au  0.5000  0.5000  0.5000 x1  6 C 2.05
C  0.0000  0.5000  0.5000 x3  2 Au 2.05

---

(4)
An optimized crystal structure of YScHg2, computed with PBEsol.

Computed properties:
- polymorph energy (0 for the lowest one) (eV per atom) = 0.023

Cell: 5.0286 5.0286 3.5948 Å, 90.00 90.00 90.00°
With the nearest neighbours (Å) after each atom.
Space group P4/mmm (No. 123)
Unique sites:
Y  0.0000  0.0000  0.0000 x1  8 Hg 3.09
Sc  0.5000  0.5000  0.0000 x1  8 Hg 3.09
Hg  0.0000  0.5000  0.5000 x2  4 Sc 3.09, 4 Y 3.09

---

(5)
An optimized crystal structure of Sr2AgPt, computed with PBEsol.

Computed properties:
- polymorph energy (0 for the lowest one) (eV per atom) = 0.049

Cell: 3.7022 3.7022 7.5380 Å, 90.00 90.00 90.00°
With the nearest neighbours (Å) after each atom.
Space group P4/mmm (No. 123)
Unique sites:
Sr  0.0000  0.0000  0.2297 x2  4 Pt 3.14, 4 Ag 3.32, 1 Sr 3.46
Ag  0.5000  0.5000  0.5000 x1  8 Sr 3.32, 4 Ag 3.70
Pt  0.5000  0.5000  0.0000 x1  8 Sr 3.14

---

(6)
An optimized crystal structure of CrRh3, computed with PBEsol.

Computed properties:
- final energy (eV for the cell shown) = -69.7

Cell: 5.2795 7.4258 2.6616 Å, 90.00 90.00 90.00°
With the nearest neighbours (Å) after each atom.
Space group Cmmm (No. 65)
Unique sites:
Cr  0.0000  0.0000  0.0000 x2  10 Rh 2.64, 2 Cr 2.66
Rh  0.0000  0.5000  0.0000 x2  10 Rh 2.64-2.66, 2 Cr 2.64
Rh  0.2500  0.2500  0.5000 x4  4 Cr 2.64, 8 Rh 2.64-2.66